Computed, not measured: crystalline Y3Al4 at its relaxed geometry at the GGA-PBE level of DFT.

Properties
Energy of formation from the pure elements = -429 meV per atom
Total magnetic moment = 0.00 μB per formula unit
Crystal system = orthorhombic

Unit cell a=5.940 b=5.940 c=14.207 alpha=90.00 beta=90.00 gamma=138.82
Element x y z (fractional)
Y (0.005, 0.995, 0.750)
Y (0.293, 0.707, 0.100)
Y (0.293, 0.707, 0.400)
Y (0.707, 0.293, 0.600)
Y (0.707, 0.293, 0.900)
Y (0.995, 0.005, 0.250)
Al (0.000, 0.000, 0.000)
Al (0.000, 0.000, 0.500)
Al (0.284, 0.716, 0.750)
Al (0.421, 0.579, 0.598)
Al (0.421, 0.579, 0.902)
Al (0.579, 0.421, 0.098)
Al (0.579, 0.421, 0.402)
Al (0.716, 0.284, 0.250)